Here is Mg2Cu3Se4 after structural relaxation from the Alexandria database. Energies are from PBE.

formation energy (no corrections) = -0.4372 eV/atom
crystal system = monoclinic
VASP energy = -3.706 eV per atom

Unit cell a=7.9871 b=7.9871 c=6.7720 alpha=66.20 beta=66.20 gamma=27.75
With the nearest neighbours (Å) after each atom.
Fractional coordinates of all 9 atoms:
Mg (0.6634, 0.6634, 0.9698)  4 Se 2.59-2.72
Mg (0.3366, 0.3366, 0.0302)  4 Se 2.59-2.72
Cu (0.8691, 0.8691, 0.3704)  3 Se 2.43-2.53, 1 Cu 2.49
Cu (0.1309, 0.1309, 0.6296)  3 Se 2.43-2.53, 1 Cu 2.49
Cu (0.0000, 0.0000, 0.0000)  2 Cu 2.49, 4 Se 2.59
Se (0.7346, 0.7346, 0.2747)  1 Cu 2.43, 3 Mg 2.59-2.72
Se (0.2654, 0.2654, 0.7253)  1 Cu 2.43, 3 Mg 2.59-2.72
Se (0.4863, 0.4863, 0.2698)  4 Cu 2.53-2.59, 1 Mg 2.65
Se (0.5137, 0.5137, 0.7302)  4 Cu 2.53-2.59, 1 Mg 2.65

***

Here is Mn4ReSi after structural relaxation from the Alexandria database. Energies are from PBE.

formation energy (no corrections) = 0.0654 eV/atom
crystal system = cubic
VASP energy = -9.026 eV per atom

Unit cell a=4.6368 b=4.6368 c=4.6368 alpha=60.00 beta=60.00 gamma=60.00
With the nearest neighbours (Å) after each atom.
Fractional coordinates of all 6 atoms:
Mn (0.8808, 0.3731, 0.3731)  6 Mn 2.28-2.35
Mn (0.3731, 0.3731, 0.8808)  6 Mn 2.28-2.35
Mn (0.3731, 0.8808, 0.3731)  6 Mn 2.28-2.35
Mn (0.3731, 0.3731, 0.3731)  6 Mn 2.28-2.35
Re (0.7500, 0.7500, 0.7500)  12 Mn 2.72, 4 Si 2.84
Si (0.0000, 0.0000, 0.0000)  12 Mn 2.71, 4 Re 2.84

***

Here is KGaC after structural relaxation from the Alexandria database. Energies are from PBE.

crystal system = monoclinic
VASP energy = -4.074 eV per atom
energy of formation = 0.376 eV per atom

Unit cell a=12.1609 b=6.9812 c=6.9812 alpha=151.67 beta=145.75 gamma=34.25
With the nearest neighbours (Å) after each atom.
Fractional coordinates of all 6 atoms:
K (0.7043, 0.6823, 0.3177)  4 C 2.96-3.14
K (0.1035, 0.1327, 0.8673)  2 C 2.93
C (0.3921, 0.5230, 0.4770)  1 C 1.30
C (0.5241, 0.4956, 0.5044)  1 C 1.30
Ga (0.5910, 0.0394, 0.9606)  2 C 2.18
Ga (0.1908, 0.8134, 0.1866)  2 C 2.25-2.28

***

Here is Dy8YHo3 after structural relaxation from the Alexandria database. Energies are from PBE.

crystal system = tetragonal
VASP energy = -4.018 eV per atom
energy of formation = 0.733 eV per atom

Unit cell a=7.6644 b=7.6644 c=9.3945 alpha=114.07 beta=114.07 gamma=90.00
With the nearest neighbours (Å) after each atom.
Fractional coordinates of all 12 atoms:
Dy (0.8744, 0.3769, 0.2513)  3 Ho 3.31, 1 Y 3.34
Dy (0.3769, 0.3769, 0.2513)  3 Ho 3.31, 1 Y 3.34
Dy (0.1256, 0.1256, 0.7487)  3 Ho 3.31, 1 Y 3.34
Dy (0.6231, 0.1256, 0.7487)  3 Ho 3.31, 1 Y 3.34
Dy (0.3769, 0.8744, 0.2513)  3 Ho 3.31, 1 Y 3.34
Dy (0.8744, 0.8744, 0.2513)  3 Ho 3.31, 1 Y 3.34
Dy (0.6231, 0.6231, 0.7487)  3 Ho 3.31, 1 Y 3.34
Dy (0.1256, 0.6231, 0.7487)  3 Ho 3.31, 1 Y 3.34
Y (0.0000, 0.0000, 0.0000)  8 Dy 3.34
Ho (0.2500, 0.7500, 0.5000)  8 Dy 3.31
Ho (0.5000, 0.5000, 0.0000)  8 Dy 3.31
Ho (0.7500, 0.2500, 0.5000)  8 Dy 3.31

***

Here is HfBNO2 after structural relaxation from the Alexandria database. Energies are from PBE.

formation energy (no corrections) = -1.3274 eV/atom
crystal system = tetragonal
VASP energy = -8.302 eV per atom

Unit cell a=3.3051 b=3.3051 c=3.6242 alpha=90.00 beta=90.00 gamma=90.00
With the nearest neighbours (Å) after each atom.
Fractional coordinates of all 5 atoms:
B (0.0000, 0.0000, 0.0000)  4 O 1.65, 2 N 1.81
Hf (0.5000, 0.5000, 0.5000)  4 N 2.34, 8 O 2.45
O (0.0000, 0.5000, 0.0000)  2 B 1.65
O (0.5000, 0.0000, 0.0000)  2 B 1.65
N (0.0000, 0.0000, 0.5000)  2 B 1.81

***

Here is MgZr2Hg2 after structural relaxation from the Alexandria database. Energies are from PBE.

crystal system = tetragonal
VASP energy = -3.944 eV per atom
energy of formation = -0.085 eV per atom

Unit cell a=7.2707 b=7.2707 c=4.2403 alpha=90.00 beta=90.00 gamma=90.00
With the nearest neighbours (Å) after each atom.
Fractional coordinates of all 10 atoms:
Mg (0.0000, 0.0000, 0.0000)  4 Hg 2.80
Mg (0.5000, 0.5000, 0.0000)  4 Hg 2.80
Hg (0.3591, 0.8591, 0.0000)  2 Mg 2.80, 1 Hg 2.90, 6 Zr 2.92-3.07
Hg (0.8591, 0.6409, 0.0000)  2 Mg 2.80, 1 Hg 2.90, 6 Zr 2.92-3.07
Hg (0.6409, 0.1409, 0.0000)  2 Mg 2.80, 1 Hg 2.90, 6 Zr 2.92-3.07
Hg (0.1409, 0.3591, 0.0000)  2 Mg 2.80, 1 Hg 2.90, 6 Zr 2.92-3.07
Zr (0.1637, 0.6637, 0.5000)  6 Hg 2.92-3.07
Zr (0.6637, 0.8363, 0.5000)  6 Hg 2.92-3.07
Zr (0.8363, 0.3363, 0.5000)  6 Hg 2.92-3.07
Zr (0.3363, 0.1637, 0.5000)  6 Hg 2.92-3.07

***

Here is La2SmSn3Rh4 after structural relaxation from the Alexandria database. Energies are from PBE.

crystal system = tetragonal
VASP energy = -6.364 eV per atom
energy of formation = -0.766 eV per atom

Unit cell a=4.4691 b=4.4691 c=11.5250 alpha=90.00 beta=90.00 gamma=90.00
With the nearest neighbours (Å) after each atom.
Fractional coordinates of all 10 atoms:
La (0.5000, 0.0000, 0.2326)  6 Sn 3.40-3.81, 8 Rh 3.44-3.49, 2 Sm 3.81
La (0.0000, 0.5000, 0.7674)  6 Sn 3.40-3.81, 8 Rh 3.44-3.49, 2 Sm 3.81
Sm (0.5000, 0.5000, 0.5000)  4 Rh 2.82
Sn (0.0000, 0.0000, 0.5000)  4 Rh 2.82
Sn (0.5000, 0.0000, 0.8765)  5 Rh 2.62-2.65
Sn (0.0000, 0.5000, 0.1235)  5 Rh 2.62-2.65
Rh (0.5000, 0.5000, 0.0000)  4 Sn 2.65
Rh (0.0000, 0.0000, 0.0000)  4 Sn 2.65
Rh (0.5000, 0.0000, 0.6491)  3 Sn 2.62-2.82, 2 Sm 2.82
Rh (0.0000, 0.5000, 0.3509)  3 Sn 2.62-2.82, 2 Sm 2.82

***

Here is MnCrPb2 after structural relaxation from the Alexandria database. Energies are from PBE.

crystal system = cubic
VASP energy = -5.721 eV per atom
energy of formation = 0.831 eV per atom

Unit cell a=4.7947 b=4.7947 c=4.7947 alpha=60.00 beta=60.00 gamma=60.00
With the nearest neighbours (Å) after each atom.
Fractional coordinates of all 4 atoms:
Pb (0.2500, 0.2500, 0.2500)  4 Cr 2.94, 4 Mn 2.94
Pb (0.7500, 0.7500, 0.7500)  4 Cr 2.94, 4 Mn 2.94
Cr (0.0000, 0.0000, 0.0000)  8 Pb 2.94
Mn (0.5000, 0.5000, 0.5000)  8 Pb 2.94

***

Here is TmLuZrSc after structural relaxation from the Alexandria database. Energies are from PBE.

crystal system = cubic
VASP energy = -5.793 eV per atom
energy of formation = 0.175 eV per atom

Unit cell a=5.3096 b=5.3096 c=5.3096 alpha=60.00 beta=60.00 gamma=60.00
With the nearest neighbours (Å) after each atom.
Fractional coordinates of all 4 atoms:
Sc (0.7500, 0.7500, 0.7500)  4 Zr 3.25, 4 Tm 3.25
Lu (0.2500, 0.2500, 0.2500)  4 Tm 3.25, 4 Zr 3.25
Tm (0.5000, 0.5000, 0.5000)  4 Sc 3.25, 4 Lu 3.25
Zr (0.0000, 0.0000, 0.0000)  4 Lu 3.25, 4 Sc 3.25

***

Here is BeHgPt3 after structural relaxation from the Alexandria database. Energies are from PBE.

crystal system = trigonal
VASP energy = -4.365 eV per atom
energy of formation = 0.065 eV per atom

Unit cell a=5.3947 b=5.3947 c=5.3947 alpha=88.66 beta=88.66 gamma=88.66
With the nearest neighbours (Å) after each atom.
Fractional coordinates of all 10 atoms:
Be (0.2500, 0.2500, 0.2500)  3 Pt 2.25, 2 Hg 2.39
Be (0.7500, 0.7500, 0.7500)  3 Pt 2.25, 2 Hg 2.39
Hg (0.0000, 0.0000, 0.0000)  2 Be 2.39
Hg (0.5000, 0.5000, 0.5000)  2 Be 2.39
Pt (0.9517, 0.5483, 0.2500)  1 Be 2.25
Pt (0.5483, 0.2500, 0.9517)  1 Be 2.25
Pt (0.2500, 0.9517, 0.5483)  1 Be 2.25
Pt (0.7500, 0.0483, 0.4517)  1 Be 2.25
Pt (0.4517, 0.7500, 0.0483)  1 Be 2.25
Pt (0.0483, 0.4517, 0.7500)  1 Be 2.25

***

Here is KRhSe2 after structural relaxation from the Alexandria database. Energies are from PBE.

formation energy (no corrections) = -0.3298 eV/atom
crystal system = orthorhombic
VASP energy = -4.184 eV per atom

Unit cell a=11.2575 b=11.2575 c=5.2547 alpha=90.00 beta=90.00 gamma=158.76
With the nearest neighbours (Å) after each atom.
Fractional coordinates of all 8 atoms:
K (0.1583, 0.8417, 0.2500)  7 Se 3.38-3.75, 4 Rh 3.72
K (0.8417, 0.1583, 0.7500)  7 Se 3.38-3.75, 4 Rh 3.72
Rh (0.4152, 0.5848, 0.2500)  3 Se 2.30-2.33
Rh (0.5848, 0.4152, 0.7500)  3 Se 2.30-2.33
Se (0.3112, 0.6888, 0.2500)  1 Rh 2.30
Se (0.6888, 0.3112, 0.7500)  1 Rh 2.30
Se (0.9629, 0.0371, 0.2500)  2 Rh 2.33
Se (0.0371, 0.9629, 0.7500)  2 Rh 2.33